Compound: CrPtWCl2
Source: Alexandria via LeMat-Bulk
Functional: PBE
Structure: optimized geometry

The structure in POSCAR format:
```
CrPtWCl2
1.0
4.835 0.000 0.000
0.000 5.140 0.000
0.000 0.000 4.835
Cr W Pt Cl
1 1 1 2
Direct
0.500 0.500 0.500
0.000 0.500 0.000
0.000 0.000 0.000
0.000 0.000 0.500
0.500 0.000 0.000
```

Calculated values
The symmetry is P4/mmm, No. 123. The value obtained for the spin magnetization is 1.54 Bohr magnetons per cell. The calculation puts the calculated volume at 24.03 Å³ per atom. The raw total energy comes out at -5.17 eV/atom. The crystal system is tetragonal. The calculation puts the formation energy (no corrections) at 1294 meV per atom.

=====

Compound: Nd3Dy2Er2
Source: Alexandria via LeMat-Bulk
Functional: PBE
Structure: optimized geometry

The structure in POSCAR format:
```
Nd3Dy2Er2
1.0
3.518 0.000 0.000
0.000 8.529 -0.755
-1.759 -3.527 8.051
Nd Dy Er
3 2 2
Direct
0.000 0.500 0.000
0.213 0.798 0.426
0.787 0.202 0.574
0.564 0.910 0.129
0.436 0.090 0.871
0.856 0.677 0.712
0.144 0.323 0.288
```

Calculated values
The symmetry is C2/m, No. 12. The value obtained for the spin magnetization is 0.00 Bohr magnetons per cell. The excess energy over the best structure of this formula in the dataset is 0.093 eV per atom. The calculation puts the calculated volume at 33.17 Å³ per atom. The raw total energy comes out at -4.55 eV/atom. The formation energy comes out at 0.114 eV per atom. The crystal system is monoclinic.

=====

Compound: FeSnAs2Br
Source: Alexandria via LeMat-Bulk
Functional: PBE
Structure: optimized geometry

The structure in POSCAR format:
```
FeSnAs2Br
1.0
4.560 0.000 0.000
0.000 4.560 0.000
0.000 0.000 5.711
As Sn Br Fe
2 1 1 1
Direct
0.000 0.500 0.000
0.500 0.000 0.000
0.500 0.500 0.500
0.000 0.000 0.500
0.000 0.000 0.000
```

Calculated values
The symmetry is P4/mmm, No. 123. The value obtained for the spin magnetization is 2.32 Bohr magnetons per cell. The excess energy over the best structure of this formula in the dataset is 0.000 eV per atom. The calculation puts the calculated volume at 23.76 Å³ per atom. The raw total energy comes out at -4.43 eV/atom. The crystal system is tetragonal. The calculation puts the formation energy (no corrections) at 262 meV per atom.

=====

Compound: Dy4Au2N
Source: Alexandria via LeMat-Bulk
Functional: PBE
Structure: optimized geometry

The structure in POSCAR format:
```
Dy4Au2N
1.0
4.725 0.000 0.000
0.000 4.725 0.000
2.363 2.363 7.287
N Au Dy
1 2 4
Direct
0.000 0.000 0.000
0.631 0.631 0.738
0.369 0.369 0.262
0.827 0.827 0.347
0.173 0.173 0.653
0.000 0.500 0.000
0.500 0.000 0.000
```

Calculated values
The symmetry is I4/mmm, No. 139. The value obtained for the spin magnetization is 0.00 Bohr magnetons per cell. The calculation puts the calculated volume at 23.24 Å³ per atom. The raw total energy comes out at -5.67 eV/atom. The crystal system is tetragonal. The calculation puts the formation energy (no corrections) at -918 meV per atom.

=====

Compound: Dy3Cd2Au6
Source: Alexandria via LeMat-Bulk
Functional: PBE
Structure: optimized geometry

The structure in POSCAR format:
```
Dy3Cd2Au6
1.0
-1.386 -2.101 -3.360
3.657 -2.049 -0.227
-6.238 -7.961 10.175
Dy Cd Au
3 2 6
Direct
0.000 0.000 0.000
0.797 0.797 0.595
0.203 0.203 0.405
0.450 0.450 0.900
0.550 0.550 0.100
0.117 0.617 0.234
0.617 0.117 0.234
0.883 0.383 0.766
0.383 0.883 0.766
0.691 0.691 0.383
0.309 0.309 0.617
```

Calculated values
The symmetry is I4/mmm, No. 139. The value obtained for the spin magnetization is 0.00 Bohr magnetons per cell. The calculation puts the calculated volume at 22.49 Å³ per atom. The raw total energy comes out at -3.71 eV/atom. The formation energy comes out at -0.497 eV per atom. The crystal system is tetragonal.

=====

Compound: Tl3InHg2
Source: Alexandria via LeMat-Bulk
Functional: PBE
Structure: optimized geometry

The structure in POSCAR format:
```
Tl3InHg2
1.0
-2.229 3.250 4.661
-3.551 2.490 -7.349
-2.270 -7.339 4.071
Tl In Hg
6 2 4
Direct
0.973 0.347 0.082
0.027 0.653 0.918
0.678 0.353 0.428
0.322 0.647 0.572
0.627 0.650 0.235
0.373 0.350 0.765
0.075 0.140 0.317
0.925 0.860 0.683
0.620 0.864 0.002
0.380 0.136 0.998
0.238 0.865 0.369
0.762 0.135 0.631
```

Calculated values
The symmetry is P-1, No. 2. The value obtained for the spin magnetization is 0.00 Bohr magnetons per cell. The excess energy over the best structure of this formula in the dataset is 0.000 eV per atom. The calculation puts the calculated volume at 28.89 Å³ per atom. The raw total energy comes out at -1.74 eV/atom. The formation energy comes out at 0.001 eV per atom. The crystal system is triclinic.